Here is an optimized crystal structure of KCr3Re from Alexandria via LeMat-Bulk. Energies are from PBE-GGA.

```
KCr3Re
1.0
4.141 0.000 0.000
0.000 4.141 0.000
0.000 0.000 4.141
K Cr Re
1 3 1
direct
0.000 0.000 0.000
0.000 0.000 0.500
0.000 0.500 0.000
0.500 0.000 0.000
0.500 0.500 0.500
```

Values from the calculation:
Density in g/cm3: 8.92
Calculated formation energy in eV per atom: 2.91
V in Å³/atom: 14.2